FeHO2 | GGA-PBEsol | relaxed

Computed properties:
* SG: Fm-3m

Unit cell a=3.298 b=3.298 c=3.298 alpha=60.00 beta=60.00 gamma=60.00
Each line ends with the local moment (μB).
Fractional positions:
Fe: 0.500 0.500 0.500  0.75
O: 0.250 0.250 0.250  -0.06
O: 0.750 0.750 0.750  -0.06
H: 0.000 0.000 0.000  0.04



FeHO2 | GGA-PBEsol | relaxed

Computed properties:
* SG: Cmcm

Unit cell a=2.429 b=3.843 c=7.806 alpha=90.00 beta=98.95 gamma=90.00
Each line ends with the local moment (μB).
Fractional positions:
Fe: 0.307 0.686 0.614  1.39
Fe: 0.693 0.186 0.386  1.39
O: 0.284 0.186 0.567  -0.03
O: 0.091 0.187 0.182  0.06
O: 0.909 0.687 0.818  0.06
O: 0.716 0.686 0.433  -0.03
H: 0.433 0.687 0.867  0.00
H: 0.567 0.187 0.133  0.00



FeHO2 | GGA-PBEsol | relaxed

Computed properties:
* SG: Pmmn

Unit cell a=2.927 b=3.822 c=5.523 alpha=90.00 beta=90.04 gamma=90.00
Each line ends with the local moment (μB).
Fractional positions:
H: 0.251 0.750 0.026  0.00
H: 0.749 0.250 0.974  0.00
Fe: 0.250 0.250 0.362  1.15
Fe: 0.750 0.750 0.638  1.15
O: 0.750 0.250 0.591  0.00
O: 0.250 0.750 0.847  0.06
O: 0.750 0.250 0.153  0.06
O: 0.250 0.750 0.409  0.00



FeHO2 | GGA-PBEsol | relaxed

Computed properties:
* SG: Cmc2_1

Unit cell a=3.007 b=3.811 c=6.038 alpha=90.00 beta=104.42 gamma=90.00
Each line ends with the local moment (μB).
Fractional positions:
O: 0.570 0.258 0.140  0.14
O: 0.195 0.756 0.390  0.21
O: 0.430 0.758 0.860  0.14
O: 0.805 0.256 0.610  0.21
H: 0.487 0.545 0.973  0.01
H: 0.513 0.045 0.027  0.01
Fe: 0.182 0.255 0.363  3.32
Fe: 0.818 0.755 0.637  3.32



Asked for DFT total energy across the records above, the calculation gives -23.08, -51.57, -53.87, -54.17 eV per cell in order.